Entry 1:
Entry from Alexandria: crystalline Ca6P2N at its relaxed geometry (PBE-GGA).

a b c (Å): 6.563 7.490 9.360
angles (deg): 90.00 90.89 90.00
Element x y z (fractional)
Ca  0.880  0.962  0.258
Ca  0.661  0.207  0.942
Ca  0.120  0.038  0.742
Ca  0.304  0.836  0.440
Ca  0.161  0.293  0.442
Ca  0.696  0.164  0.560
Ca  0.620  0.462  0.242
Ca  0.839  0.707  0.558
Ca  0.804  0.664  0.940
Ca  0.339  0.793  0.058
Ca  0.380  0.538  0.758
Ca  0.196  0.336  0.060
N  0.000  0.000  0.500
N  0.500  0.500  0.000
P  0.956  0.396  0.747
P  0.044  0.604  0.253
P  0.456  0.104  0.247
P  0.544  0.896  0.753

**Symmetry**: No. 14
**Energy relative to the elements, uncorrected**: -0.847 eV/atom
**Size of the total moment**: 2.04 Bohr magnetons per cell


Entry 2:
Entry from Alexandria: crystalline Ca4PN at its relaxed geometry (PBE-GGA).

a b c (Å): 3.899 6.654 6.907
angles (deg): 77.45 90.00 90.00
Element x y z (fractional)
P  0.500  0.000  0.500
N  0.000  0.000  0.000
Ca  0.000  0.790  0.754
Ca  0.500  0.201  0.819
Ca  0.500  0.799  0.181
Ca  0.000  0.210  0.246

**Symmetry**: No. 10
**Energy relative to the elements, uncorrected**: -0.756 eV/atom
**Size of the total moment**: 0.00 Bohr magnetons per cell


Entry 3:
Entry from Alexandria: crystalline CaPN at its relaxed geometry (PBE-GGA).

a b c (Å): 4.316 5.530 6.324
angles (deg): 120.77 90.00 112.97
Element x y z (fractional)
N  0.870  0.741  0.968
N  0.130  0.259  0.032
P  0.067  0.133  0.244
P  0.933  0.867  0.756
Ca  0.762  0.523  0.230
Ca  0.238  0.477  0.770

**Symmetry**: No. 12
**Energy relative to the elements, uncorrected**: -0.564 eV/atom
**Size of the total moment**: 0.00 Bohr magnetons per cell


Entry 4:
Entry from Alexandria: crystalline Ca8P3N2 at its relaxed geometry (PBE-GGA).

a b c (Å): 6.978 6.978 8.854
angles (deg): 66.79 66.79 60.00
Element x y z (fractional)
N  0.593  0.593  0.221
N  0.407  0.407  0.779
Ca  0.220  0.740  0.300
Ca  0.313  0.313  0.060
Ca  0.780  0.260  0.700
Ca  0.740  0.740  0.300
Ca  0.260  0.780  0.700
Ca  0.740  0.220  0.300
Ca  0.260  0.260  0.700
Ca  0.687  0.687  0.940
P  0.000  0.000  0.000
P  0.804  0.804  0.589
P  0.196  0.196  0.411

**Symmetry**: No. 166
**Energy relative to the elements, uncorrected**: -0.796 eV/atom
**Size of the total moment**: 0.00 Bohr magnetons per cell


energy relative to the elements, uncorrected of number 1 (Ca6P2N)? -0.847 eV/atom


What is the energy relative to the elements, uncorrected in the second record? -0.756 eV/atom


Look up the energy relative to the elements, uncorrected of the second one. -0.756 eV/atom